Here is a relaxed structure of CeHo2Pu3Te6 from Alexandria via LeMat-Bulk. Energies are from PBE.

Properties
Formation energy from raw total energies (kJ/mol of formula units): -1401

a = 19.246 Å, b = 4.393 Å, c = 8.867 Å
α = 90.00°, β = 103.47°, γ = 90.00°
Space group C2/m (No. 12)
Inequivalent atoms, fractional coordinates:
Ce (0.000, 0.000, 0.000) [2 per cell]
Ho (0.168, 0.500, 0.335) [4 per cell]
Pu (0.000, 0.000, 0.500) [2 per cell]
Pu (0.164, 0.500, 0.834) [4 per cell]
Te (0.003, 0.500, 0.256) [4 per cell]
Te (0.168, 0.000, 0.581) [4 per cell]
Te (0.169, 0.000, 0.091) [4 per cell]

---

Here is a relaxed structure of Hf4NiOs from Alexandria via LeMat-Bulk. Energies are from PBE.

Properties
Formation energy (eV/atom): -0.054

a = 14.159 Å, b = 3.220 Å, c = 5.470 Å
α = 90.00°, β = 112.28°, γ = 90.00°
Space group C2/m (No. 12)
Inequivalent atoms, fractional coordinates:
Hf (0.152, 0.000, 0.487) [4 per cell]
Hf (0.153, 0.500, 0.983) [4 per cell]
Ni (0.000, 0.500, 0.500) [2 per cell]
Os (0.000, 0.000, 0.000) [2 per cell]

---

Here is a relaxed structure of CsU2Cu2Te6 from Alexandria via LeMat-Bulk. Energies are from PBE.

Properties
Formation energy from raw total energies (kJ/mol of formula units): -481

a = 8.094 Å, b = 8.102 Å, c = 8.528 Å
α = 90.02°, β = 118.19°, γ = 119.06°
Space group P-1 (No. 2)
Inequivalent atoms, fractional coordinates:
Cs (0.000, 0.000, 0.000) [1 per cell]
U (0.333, 0.668, 0.995) [2 per cell]
Cu (0.280, 0.584, 0.585) [2 per cell]
Te (0.171, 0.504, 0.251) [2 per cell]
Te (0.234, 0.320, 0.747) [2 per cell]
Te (0.405, 0.921, 0.742) [2 per cell]

---

Here is a relaxed structure of K2SrAs2O6 from Alexandria via LeMat-Bulk. Energies are from PBE.

Properties
Formation energy from raw total energies (kJ/mol of formula units): -1948

a = 10.629 Å, b = 6.223 Å, c = 7.275 Å
α = 90.00°, β = 122.77°, γ = 90.00°
Space group C2/m (No. 12)
Inequivalent atoms, fractional coordinates:
K (0.209, 0.000, 0.186) [4 per cell]
Sr (0.000, 0.000, 0.500) [2 per cell]
As (0.035, 0.500, 0.193) [4 per cell]
O (0.046, 0.271, 0.783) [8 per cell]
O (0.226, 0.500, 0.364) [4 per cell]

---

Here is a relaxed structure of LiTlSn2 from Alexandria via LeMat-Bulk. Energies are from PBE.

Properties
Energy above the lowest structure with this stoichiometry (eV/atom): 0.024
Formation energy (eV/atom): -0.107

a = 4.811 Å, b = 10.997 Å, c = 7.777 Å
α = 90.00°, β = 90.00°, γ = 90.00°
Space group Cmcm (No. 63)
Inequivalent atoms, fractional coordinates:
Li (0.000, 0.210, 0.250) [4 per cell]
Tl (0.000, 0.062, 0.750) [4 per cell]
Sn (0.000, 0.357, 0.551) [8 per cell]

---

Here is a relaxed structure of SmZnRe from Alexandria via LeMat-Bulk. Energies are from PBE.

Properties
Formation energy (eV/atom): 0.167

a = 11.003 Å, b = 3.286 Å, c = 8.065 Å
α = 90.00°, β = 118.19°, γ = 90.00°
Space group C2/m (No. 12)
Inequivalent atoms, fractional coordinates:
Sm (0.121, 0.000, 0.260) [4 per cell]
Zn (0.119, 0.000, 0.662) [4 per cell]
Re (0.158, 0.500, 0.969) [4 per cell]

---

Here is a relaxed structure of KSmPuBr6 from Alexandria via LeMat-Bulk. Energies are from PBE.

Properties
Formation energy from raw total energies (kJ/mol of formula units): -1485

a = 7.5404 Å, b = 7.5404 Å, c = 14.6053 Å
α = 90.00°, β = 90.00°, γ = 120.00°
Space group P-31c (No. 163)
Inequivalent atoms, fractional coordinates:
K (0.0000, 0.0000, 0.0000) [2 per cell]
Sm (0.3333, 0.6667, 0.2500) [2 per cell]
Pu (0.3333, 0.6667, 0.7500) [2 per cell]
Br (0.0097, 0.3670, 0.1351) [12 per cell]

---

Here is a relaxed structure of Rb5Sb2Pt from Alexandria via LeMat-Bulk. Energies are from PBE.

Properties
Formation energy from raw total energies (kJ/mol of formula units): -282

a = 6.2067 Å, b = 6.2067 Å, c = 29.5545 Å
α = 90.00°, β = 90.00°, γ = 120.00°
Space group R-3m (No. 166, hexagonal axes)
Inequivalent atoms, fractional coordinates:
Rb (0.0000, 0.0000, 0.0000) [3 per cell]
Rb (0.0000, 0.0000, 0.1398) [6 per cell]
Rb (0.0000, 0.0000, 0.2807) [6 per cell]
Sb (0.0000, 0.0000, 0.4120) [6 per cell]
Pt (0.0000, 0.0000, 0.5000) [3 per cell]

---

Number 1: DOS at the Fermi energy 70.28 states/eV/cell. Number 2: DOS at the Fermi energy 12.45 states/eV/cell. Number 3: DOS at the Fermi energy 14.84 states/eV/cell. Number 4: DOS at the Fermi energy 0.00 states/eV/cell. Number 5: DOS at the Fermi energy 5.58 states/eV/cell. Number 6: DOS at the Fermi energy 11.81 states/eV/cell. Number 7: DOS at the Fermi energy 33.97 states/eV/cell. Number 8: DOS at the Fermi energy 20.94 states/eV/cell.